# 1
Density functional theory data (PBE) for crystalline Ba2NbIn2 at its relaxed geometry.

POSCAR file:
```
Ba2NbIn2
1.0
-2.582 -7.061 1.979
7.193 -2.031 2.138
-1.040 1.855 5.262
Ba In Nb
4 4 2
direct
0.672 0.828 0.500
0.828 0.328 0.500
0.328 0.172 0.500
0.172 0.672 0.500
0.649 0.149 0.000
0.149 0.351 0.000
0.851 0.649 0.000
0.351 0.851 0.000
0.000 0.000 0.000
0.500 0.500 0.000
```

Summary:
ΔH_f (0 K) = 267 meV per atom
Crystal system = tetragonal
Energy above the lowest structure with this stoichiometry = 0 meV per atom



# 2
Density functional theory data (PBE) for crystalline BaCa2As at its relaxed geometry.

POSCAR file:
```
BaCa2As
1.0
6.448 -0.013 0.000
2.726 5.843 0.000
-4.587 -2.915 3.469
Ca As Ba
2 1 1
direct
0.000 0.000 0.000
0.250 0.750 0.500
0.500 0.500 0.000
0.750 0.250 0.500
```

Summary:
ΔH_f (0 K) = -296 meV per atom
Crystal system = tetragonal



# 3
Density functional theory data (PBE) for crystalline Li3TlHg at its relaxed geometry.

POSCAR file:
```
Li3TlHg
1.0
5.750 0.000 -0.660
0.000 4.834 0.000
-3.656 -2.417 7.442
Tl Hg Li
2 2 6
direct
0.217 0.400 0.800
0.783 0.600 0.200
0.386 0.808 0.616
0.614 0.192 0.384
0.255 0.001 0.003
0.853 0.795 0.591
0.717 0.390 0.781
0.147 0.205 0.409
0.745 0.999 0.997
0.283 0.610 0.219
```

Summary:
ΔH_f (0 K) = -260 meV per atom
Crystal system = monoclinic
Energy above the lowest structure with this stoichiometry = 17 meV per atom